# 1
! PBE-GGA Zr2BeGa, relaxed; values from VASP
! N(E_F) ... 0.80 states/eV per atom
! DFT formation energy ... -0.159 eV/atom
! Symmetry ... R3m (160)
&SYSTEM
  ibrav = 0, nat = 12, ntyp = 3
/
ATOMIC_SPECIES
Zr 91.22 Zr.upf
Be 9.01 Be.upf
Ga 69.72 Ga.upf
ATOMIC_POSITIONS angstrom
Zr 0.0000 0.0000 0.0000
Zr 0.0000 0.0000 3.6990
Zr 0.0000 2.1618 12.1683
Zr 0.0000 2.1618 15.8673
Zr 1.8721 1.0809 6.0841
Zr 1.8721 1.0809 9.7831
Be 0.0000 0.0000 7.8340
Be 0.0000 2.1618 1.7499
Be 1.8721 1.0809 13.9182
Ga 0.0000 0.0000 14.0529
Ga 0.0000 2.1618 7.9688
Ga 1.8721 1.0809 1.8847
CELL_PARAMETERS angstrom
3.7443 0.0000 0.0000
-1.8721 3.2427 0.0000
0.0000 0.0000 18.2524

---

# 2
! PBE-GGA NiHgCl2, relaxed; values from VASP
! ΔE to the lowest computed polymorph ... 185 meV per atom
! ΔE_f (raw) ... -242 meV per atom
! N(E_F) ... 0.54 states/eV per atom
! Symmetry ... Pm (6)
&SYSTEM
  ibrav = 0, nat = 4, ntyp = 3
/
ATOMIC_SPECIES
Ni 58.69 Ni.upf
Hg 200.59 Hg.upf
Cl 35.45 Cl.upf
ATOMIC_POSITIONS angstrom
Ni 0.0000 0.0000 0.0000
Hg 2.2504 1.6378 0.5365
Cl -0.0097 0.0000 2.1841
Cl 2.2538 1.6378 5.2343
CELL_PARAMETERS angstrom
4.5061 0.0000 0.0000
0.0000 3.2756 0.0000
-2.2503 0.0000 6.8444

---

# 3
! PBE-GGA SrMg3I, relaxed; values from VASP
! ΔE to the lowest computed polymorph ... 0 meV per atom
! ΔE_f (raw) ... 312 meV per atom
! N(E_F) ... 0.49 states/eV per atom
! Symmetry ... Pm-3m (221)
&SYSTEM
  ibrav = 0, nat = 5, ntyp = 3
/
ATOMIC_SPECIES
Sr 87.62 Sr.upf
Mg 24.30 Mg.upf
I 126.90 I.upf
ATOMIC_POSITIONS angstrom
Sr 0.0000 0.0000 0.0000
Mg 0.0000 2.9362 2.9362
Mg 2.9362 0.0000 2.9362
Mg 2.9362 2.9362 0.0000
I 2.9362 2.9362 2.9362
CELL_PARAMETERS angstrom
5.8724 0.0000 0.0000
0.0000 5.8724 0.0000
0.0000 0.0000 5.8724

---

What is the N(E_F) in the third record? 0.49 states/eV per atom